Version 1
# La4Nd2Sm5

A geometry-optimized La4Nd2Sm5 structure (PBE, Alexandria via LeMat-Bulk).

The structure in POSCAR format:
```
La4Nd2Sm5
1.0
-1.9615 2.9764 0.5103
-1.6264 0.9548 -11.8214
-6.3861 -6.5720 1.0804
La Sm Nd
4 5 2
Direct
0.6405 0.7978 0.2811 La
0.9633 0.7378 0.9266 La
0.0367 0.2622 0.0734 La
0.3595 0.2022 0.7189 La
0.8220 0.9293 0.6441 Sm
0.9040 0.4594 0.8080 Sm
0.0960 0.5406 0.1920 Sm
0.1780 0.0707 0.3559 Sm
0.5000 0.0000 0.0000 Sm
0.2846 0.6436 0.5692 Nd
0.7154 0.3564 0.4308 Nd
```

***

Version 2
# La4Nd2Sm5

A geometry-optimized La4Nd2Sm5 structure (PBE, Alexandria via LeMat-Bulk).

The structure in POSCAR format:
```
La4Nd2Sm5
1.0
3.5762 0.0000 0.0000
0.0000 9.4837 0.0000
-1.7881 -4.7419 11.6746
Sm Nd La
5 2 4
Direct
0.1471 0.9517 0.2942 Sm
0.8529 0.6575 0.7058 Sm
0.8529 0.0483 0.7058 Sm
0.1471 0.3425 0.2942 Sm
0.5000 0.0000 0.0000 Sm
0.7286 0.7286 0.4572 Nd
0.2714 0.2714 0.5428 Nd
0.5936 0.5936 0.1873 La
0.0000 0.2914 0.0000 La
0.0000 0.7086 0.0000 La
0.4064 0.4064 0.8127 La
```

***

Going by the computed energies, the most stable comes first: version 1, version 2.